# SCAN TaPIN2, single point on PBEsol structure
# Uncorrected formation energy (eV/atom): 0.690
# Final energy (eV/atom): -25.77
data_TaPIN2
_symmetry_space_group_name_H-M 'P 4/m m m'
_symmetry_Int_Tables_number 123
_symmetry_space_group_name_Hall '-P 4 2'
_cell_length_a 3.9918
_cell_length_b 3.9918
_cell_length_c 5.8200
_cell_angle_alpha 90.00
_cell_angle_beta 90.00
_cell_angle_gamma 90.00
loop_
_atom_site_label
_atom_site_type_symbol
_atom_site_fract_x
_atom_site_fract_y
_atom_site_fract_z
Ta1 Ta 0.0000 0.0000 0.0000
P1 P 0.5000 0.5000 0.5000
I1 I 0.0000 0.0000 0.5000
N1 N 0.0000 0.5000 0.0000


# SCAN LaInSi2, single point on PBEsol structure
# Uncorrected formation energy (eV/atom): -0.076
# Final energy (eV/atom): -24.21
data_LaInSi2
_symmetry_space_group_name_H-M 'I 4/m m m'
_symmetry_Int_Tables_number 139
_symmetry_space_group_name_Hall '-I 4 2'
_cell_length_a 4.4077
_cell_length_b 4.4077
_cell_length_c 8.9882
_cell_angle_alpha 90.00
_cell_angle_beta 90.00
_cell_angle_gamma 90.00
loop_
_atom_site_label
_atom_site_type_symbol
_atom_site_fract_x
_atom_site_fract_y
_atom_site_fract_z
La1 La 0.0000 0.0000 0.0000
In1 In 0.0000 0.0000 0.5000
Si1 Si 0.0000 0.5000 0.2500


# SCAN MnFe3F, single point on PBEsol structure
# Uncorrected formation energy (eV/atom): 1.072
# Final energy (eV/atom): -14.16
data_MnFe3F
_symmetry_space_group_name_H-M 'P m -3 m'
_symmetry_Int_Tables_number 221
_symmetry_space_group_name_Hall '-P 4 2 3'
_cell_length_a 4.1571
_cell_length_b 4.1571
_cell_length_c 4.1571
_cell_angle_alpha 90.00
_cell_angle_beta 90.00
_cell_angle_gamma 90.00
loop_
_atom_site_label
_atom_site_type_symbol
_atom_site_fract_x
_atom_site_fract_y
_atom_site_fract_z
Mn1 Mn 0.0000 0.0000 0.0000
Fe1 Fe 0.0000 0.0000 0.5000
F1 F 0.5000 0.5000 0.5000


# SCAN LaTlMo2, single point on PBEsol structure
# Final energy (eV/atom): -45.92
# Formation energy from the elements (eV/atom): 0.3872
# Offset from the most stable computed form (eV/atom): 0.000
data_LaTlMo2
_symmetry_space_group_name_H-M 'C m m 2'
_symmetry_Int_Tables_number 35
_symmetry_space_group_name_Hall 'C 2 -2'
_cell_length_a 3.3359
_cell_length_b 5.0934
_cell_length_c 9.7474
_cell_angle_alpha 90.00
_cell_angle_beta 90.00
_cell_angle_gamma 90.00
loop_
_atom_site_label
_atom_site_type_symbol
_atom_site_fract_x
_atom_site_fract_y
_atom_site_fract_z
La1 La 0.0000 0.0000 0.0000
Tl1 Tl 0.0000 0.5000 0.3031
Mo1 Mo 0.0000 0.0000 0.5545
Mo2 Mo 0.0000 0.5000 0.7439


# SCAN MgAlIn2, single point on PBEsol structure
# Final energy (eV/atom): -19.86
# Formation energy from the elements (eV/atom): 0.0132
data_MgAlIn2
_symmetry_space_group_name_H-M 'C 1 m 1'
_symmetry_Int_Tables_number 8
_symmetry_space_group_name_Hall 'C -2y'
_cell_length_a 10.7533
_cell_length_b 3.2190
_cell_length_c 5.1774
_cell_angle_alpha 90.00
_cell_angle_beta 102.34
_cell_angle_gamma 90.00
loop_
_atom_site_label
_atom_site_type_symbol
_atom_site_fract_x
_atom_site_fract_y
_atom_site_fract_z
Mg1 Mg 0.0000 0.0000 0.0000
Al1 Al 0.2643 0.0000 0.7288
In1 In 0.0170 0.5000 0.5158
In2 In 0.2537 0.5000 0.2220


# SCAN CuBiAsBr2, single point on PBEsol structure
# Uncorrected formation energy (eV/atom): 0.225
# Final energy (eV/atom): -30.35
data_CuBiAsBr2
_symmetry_space_group_name_H-M 'P 4/m m m'
_symmetry_Int_Tables_number 123
_symmetry_space_group_name_Hall '-P 4 2'
_cell_length_a 4.7748
_cell_length_b 4.7748
_cell_length_c 5.0300
_cell_angle_alpha 90.00
_cell_angle_beta 90.00
_cell_angle_gamma 90.00
loop_
_atom_site_label
_atom_site_type_symbol
_atom_site_fract_x
_atom_site_fract_y
_atom_site_fract_z
Cu1 Cu 0.0000 0.0000 0.0000
Bi1 Bi 0.5000 0.5000 0.5000
As1 As 0.0000 0.0000 0.5000
Br1 Br 0.0000 0.5000 0.0000